# meta-GGA SCAN La3Si4Ni4, single point on PBEsol structure
data_La3Si4Ni4
_chemical_formula_sum 'La3 Si4 Ni4'
_cell_length_a 12.055
_cell_length_b 12.055
_cell_length_c 12.055
_cell_angle_alpha 160.58
_cell_angle_beta 160.25
_cell_angle_gamma 27.84
_space_group_name_H-M_alt 'P 1'
_space_group_IT_number 1
loop_
_space_group_symop_operation_xyz
'x,y,z'
loop_
_atom_site_label
_atom_site_fract_x
_atom_site_fract_y
_atom_site_fract_z
La1 0.000 0.000 0.000
La2 0.150 0.650 0.500
La3 0.850 0.350 0.500
Si1 0.299 0.799 0.500
Si2 0.448 0.448 0.000
Si3 0.552 0.552 0.000
Si4 0.701 0.201 0.500
Ni1 0.248 0.248 0.000
Ni2 0.400 0.900 0.500
Ni3 0.600 0.100 0.500
Ni4 0.752 0.752 0.000
# Magnetic moment   0.00 Bohr magnetons per cell
# Fermi-level density of states   0.8440 states/eV/atom
# Raw formation energy   -8.24 eV per formula unit
# Mass density   6.4 g/cm3
# E   -242.3 eV/f.u.
# SG   Immm

# meta-GGA SCAN KMg3Ir, single point on PBEsol structure
data_KMg3Ir
_chemical_formula_sum 'K1 Mg3 Ir1'
_cell_length_a 4.947
_cell_length_b 4.947
_cell_length_c 4.947
_cell_angle_alpha 90.00
_cell_angle_beta 90.00
_cell_angle_gamma 90.00
_space_group_name_H-M_alt 'P 1'
_space_group_IT_number 1
loop_
_space_group_symop_operation_xyz
'x,y,z'
loop_
_atom_site_label
_atom_site_fract_x
_atom_site_fract_y
_atom_site_fract_z
K1 0.000 0.000 0.000
Mg1 0.000 0.000 0.500
Mg2 0.000 0.500 0.000
Mg3 0.500 0.000 0.000
Ir1 0.500 0.500 0.500
# Magnetic moment   0.00 Bohr magnetons per cell
# Fermi-level density of states   0.4928 states/eV/atom
# Mass density   4.2 g/cm3
# E   -84.4 eV/f.u.
# SG   Pm-3m
# ΔE_f   1.998 eV per atom

# meta-GGA SCAN KZrBe3, single point on PBEsol structure
data_KZrBe3
_chemical_formula_sum 'K1 Zr1 Be3'
_cell_length_a 4.410
_cell_length_b 4.410
_cell_length_c 4.410
_cell_angle_alpha 90.00
_cell_angle_beta 90.00
_cell_angle_gamma 90.00
_space_group_name_H-M_alt 'P 1'
_space_group_IT_number 1
loop_
_space_group_symop_operation_xyz
'x,y,z'
loop_
_atom_site_label
_atom_site_fract_x
_atom_site_fract_y
_atom_site_fract_z
K1 0.000 0.000 0.000
Zr1 0.500 0.500 0.500
Be1 0.000 0.000 0.500
Be2 0.000 0.500 0.000
Be3 0.500 0.000 0.000
# Magnetic moment   0.00 Bohr magnetons per cell
# Fermi-level density of states   0.4335 states/eV/atom
# Mass density   3.0 g/cm3
# E   -42.2 eV/f.u.
# SG   Pm-3m
# ΔE_f   1.971 eV per atom

# meta-GGA SCAN BaTl3, single point on PBEsol structure
data_BaTl3
_chemical_formula_sum 'Ba6 Tl18'
_cell_length_a 7.162
_cell_length_b 7.162
_cell_length_c 16.775
_cell_angle_alpha 90.00
_cell_angle_beta 90.00
_cell_angle_gamma 120.00
_space_group_name_H-M_alt 'P 1'
_space_group_IT_number 1
loop_
_space_group_symop_operation_xyz
'x,y,z'
loop_
_atom_site_label
_atom_site_fract_x
_atom_site_fract_y
_atom_site_fract_z
Ba1 0.000 0.000 0.250
Ba2 0.000 0.000 0.750
Ba3 0.333 0.667 0.098
Ba4 0.333 0.667 0.402
Ba5 0.667 0.333 0.598
Ba6 0.667 0.333 0.902
Tl1 0.039 0.520 0.750
Tl2 0.172 0.343 0.578
Tl3 0.172 0.343 0.922
Tl4 0.172 0.828 0.578
Tl5 0.172 0.828 0.922
Tl6 0.343 0.172 0.078
Tl7 0.343 0.172 0.422
Tl8 0.480 0.520 0.750
Tl9 0.480 0.961 0.750
Tl10 0.520 0.039 0.250
Tl11 0.520 0.480 0.250
Tl12 0.657 0.828 0.578
Tl13 0.657 0.828 0.922
Tl14 0.828 0.172 0.078
Tl15 0.828 0.172 0.422
Tl16 0.828 0.657 0.078
Tl17 0.828 0.657 0.422
Tl18 0.961 0.480 0.250
# Magnetic moment   0.00 Bohr magnetons per cell
# Fermi-level density of states   0.5999 states/eV/atom
# Mass density   10.0 g/cm3
# E   -258.1 eV/f.u.
# SG   P6_3/mmc
# ΔE_f   -0.366 eV per atom

# meta-GGA SCAN Tl2SeCl, single point on PBEsol structure
data_Tl2SeCl
_chemical_formula_sum 'Tl2 Se1 Cl1'
_cell_length_a 4.282
_cell_length_b 4.282
_cell_length_c 6.149
_cell_angle_alpha 90.00
_cell_angle_beta 90.00
_cell_angle_gamma 90.00
_space_group_name_H-M_alt 'P 1'
_space_group_IT_number 1
loop_
_space_group_symop_operation_xyz
'x,y,z'
loop_
_atom_site_label
_atom_site_fract_x
_atom_site_fract_y
_atom_site_fract_z
Tl1 0.000 0.000 0.000
Tl2 0.500 0.500 0.500
Se1 0.000 0.000 0.500
Cl1 0.500 0.500 0.000
# Magnetic moment   0.00 Bohr magnetons per cell
# Fermi-level density of states   0.4943 states/eV/atom
# Raw formation energy   -2.41 eV per formula unit
# Mass density   7.7 g/cm3
# Excess energy over the best structure of this formula in the dataset   0.06 eV per formula unit
# E   -175.2 eV/f.u.
# SG   P4/mmm

# meta-GGA SCAN LiSmGe, single point on PBEsol structure
data_LiSmGe
_chemical_formula_sum 'Li3 Sm3 Ge3'
_cell_length_a 7.102
_cell_length_b 7.102
_cell_length_c 4.286
_cell_angle_alpha 90.00
_cell_angle_beta 90.00
_cell_angle_gamma 120.00
_space_group_name_H-M_alt 'P 1'
_space_group_IT_number 1
loop_
_space_group_symop_operation_xyz
'x,y,z'
loop_
_atom_site_label
_atom_site_fract_x
_atom_site_fract_y
_atom_site_fract_z
Li1 0.000 0.233 0.000
Li2 0.233 0.000 0.000
Li3 0.767 0.767 0.000
Sm1 0.000 0.577 0.500
Sm2 0.423 0.423 0.500
Sm3 0.577 0.000 0.500
Ge1 0.000 0.000 0.500
Ge2 0.333 0.667 0.000
Ge3 0.667 0.333 0.000
# Magnetic moment   0.00 Bohr magnetons per cell
# Fermi-level density of states   0.0905 states/eV/atom
# Mass density   6.1 g/cm3
# E   -68.2 eV/f.u.
# SG   P-62m
# ΔE_f   -0.761 eV per atom